VASP calculation (GGA-PBE) on YPuAs after structural relaxation.

Unit cell a=4.848 b=4.848 c=4.848 alpha=60.00 beta=60.00 gamma=60.00
Atoms (fractional coordinates):
Y (0.000, 0.000, 0.000)
Pu (0.500, 0.500, 0.500)
As (0.750, 0.750, 0.750)

Properties
E: -9.041 eV/atom


VASP calculation (GGA-PBE) on TmMgNi after structural relaxation.

Unit cell a=4.664 b=4.664 c=4.664 alpha=60.00 beta=60.00 gamma=60.00
Atoms (fractional coordinates):
Tm (0.000, 0.000, 0.000)
Mg (0.750, 0.750, 0.750)
Ni (0.250, 0.250, 0.250)

Properties
E: -3.336 eV/atom


VASP calculation (GGA-PBE) on RbHoAsO after structural relaxation.

Unit cell a=4.917 b=7.998 c=6.726 alpha=90.00 beta=90.00 gamma=90.00
Atoms (fractional coordinates):
Rb (0.000, 0.224, 0.000)
Rb (0.000, 0.776, 0.500)
Ho (0.500, 0.374, 0.574)
Ho (0.500, 0.626, 0.074)
As (0.000, 0.206, 0.493)
As (0.000, 0.794, 0.993)
O (0.500, 0.423, 0.881)
O (0.500, 0.577, 0.381)

Properties
E: -5.260 eV/atom


VASP calculation (GGA-PBE) on OsOF2 after structural relaxation.

Unit cell a=4.768 b=4.768 c=3.164 alpha=108.36 beta=108.36 gamma=45.07
Atoms (fractional coordinates):
Os (0.000, 0.000, 0.000)
O (0.500, 0.500, 0.000)
F (0.156, 0.156, 0.648)
F (0.844, 0.844, 0.352)

Properties
E: -6.224 eV/atom


VASP calculation (GGA-PBE) on Li6Pr2O7 after structural relaxation.

Unit cell a=5.703 b=5.785 c=6.230 alpha=66.97 beta=83.56 gamma=79.00
Atoms (fractional coordinates):
Li (0.042, 0.206, 0.416)
Li (0.378, 0.614, 0.313)
Li (0.405, 0.749, 0.823)
Li (0.595, 0.251, 0.177)
Li (0.622, 0.386, 0.687)
Li (0.958, 0.794, 0.584)
Pr (0.143, 0.261, 0.908)
Pr (0.857, 0.739, 0.092)
O (0.080, 0.978, 0.741)
O (0.235, 0.447, 0.164)
O (0.296, 0.599, 0.617)
O (0.500, 0.000, 0.000)
O (0.704, 0.401, 0.383)
O (0.765, 0.553, 0.836)
O (0.920, 0.022, 0.259)

Properties
E: -5.749 eV/atom


VASP calculation (GGA-PBE) on RbDySbSe3 after structural relaxation.

Unit cell a=8.799 b=8.799 c=11.851 alpha=90.00 beta=90.00 gamma=153.86
Atoms (fractional coordinates):
Rb (0.193, 0.807, 0.750)
Rb (0.807, 0.193, 0.250)
Dy (0.500, 0.500, 0.000)
Dy (0.500, 0.500, 0.500)
Sb (0.112, 0.888, 0.250)
Sb (0.888, 0.112, 0.750)
Se (0.117, 0.883, 0.013)
Se (0.117, 0.883, 0.487)
Se (0.486, 0.514, 0.250)
Se (0.514, 0.486, 0.750)
Se (0.883, 0.117, 0.513)
Se (0.883, 0.117, 0.987)

Properties
E: -4.356 eV/atom


VASP calculation (GGA-PBE) on TbDy2Ga3AgIr2 after structural relaxation.

Unit cell a=3.889 b=7.308 c=7.308 alpha=120.14 beta=90.00 gamma=90.00
Atoms (fractional coordinates):
Tb (0.000, 0.000, 0.000)
Dy (0.000, 0.179, 0.590)
Dy (0.000, 0.590, 0.179)
Ga (0.500, 0.319, 0.319)
Ga (0.500, 0.589, 0.861)
Ga (0.500, 0.861, 0.589)
Ag (0.000, 0.589, 0.589)
Ir (0.500, 0.257, 0.923)
Ir (0.500, 0.923, 0.257)

Properties
E: -5.541 eV/atom


VASP calculation (GGA-PBE) on Dy2HoNi2 after structural relaxation.

Unit cell a=6.885 b=6.885 c=9.484 alpha=104.84 beta=104.84 gamma=30.68
Atoms (fractional coordinates):
Dy (0.097, 0.097, 0.172)
Dy (0.368, 0.368, 0.502)
Dy (0.632, 0.632, 0.498)
Dy (0.903, 0.903, 0.828)
Ho (0.356, 0.356, 0.132)
Ho (0.644, 0.644, 0.868)
Ni (0.035, 0.035, 0.645)
Ni (0.244, 0.244, 0.727)
Ni (0.756, 0.756, 0.273)
Ni (0.965, 0.965, 0.355)

Properties
E: -5.360 eV/atom
formation enthalpy at 0 K: -377 meV/atom


VASP calculation (GGA-PBE) on OsO4 after structural relaxation.

Unit cell a=4.928 b=4.928 c=4.667 alpha=115.76 beta=115.76 gamma=35.59
Atoms (fractional coordinates):
Os (0.000, 0.000, 0.000)
O (0.126, 0.126, 0.425)
O (0.383, 0.383, 0.049)
O (0.617, 0.617, 0.951)
O (0.874, 0.874, 0.575)

Properties
E: -6.495 eV/atom


VASP calculation (GGA-PBE) on PmNdFe after structural relaxation.

Unit cell a=4.812 b=4.812 c=4.812 alpha=60.00 beta=60.00 gamma=60.00
Atoms (fractional coordinates):
Pm (0.000, 0.000, 0.000)
Nd (0.500, 0.500, 0.500)
Fe (0.750, 0.750, 0.750)

Properties
E: -5.667 eV/atom
formation enthalpy at 0 K: 272 meV/atom


VASP calculation (GGA-PBE) on NbCu2Pb after structural relaxation.

Unit cell a=4.599 b=4.599 c=4.599 alpha=60.00 beta=60.00 gamma=60.00
Atoms (fractional coordinates):
Nb (0.000, 0.000, 0.000)
Cu (0.250, 0.250, 0.250)
Cu (0.500, 0.500, 0.500)
Pb (0.750, 0.750, 0.750)

Properties
E: -4.795 eV/atom


VASP calculation (GGA-PBE) on Lu2Pb3W4C3 after structural relaxation.

Unit cell a=5.816 b=5.816 c=14.363 alpha=100.38 beta=100.38 gamma=60.36
Atoms (fractional coordinates):
Lu (0.029, 0.871, 0.595)
Lu (0.129, 0.971, 0.905)
Lu (0.871, 0.029, 0.095)
Lu (0.971, 0.129, 0.405)
Pb (0.080, 0.288, 0.749)
Pb (0.288, 0.080, 0.249)
Pb (0.450, 0.550, 0.750)
Pb (0.550, 0.450, 0.250)
Pb (0.712, 0.920, 0.751)
Pb (0.920, 0.712, 0.251)
W (0.189, 0.344, 0.068)
W (0.306, 0.489, 0.432)
W (0.344, 0.189, 0.568)
W (0.489, 0.306, 0.932)
W (0.511, 0.694, 0.068)
W (0.656, 0.811, 0.432)
W (0.694, 0.511, 0.568)
W (0.811, 0.656, 0.932)
C (0.000, 0.500, 0.500)
C (0.171, 0.656, 0.000)
C (0.344, 0.829, 0.500)
C (0.500, 0.000, 0.000)
C (0.656, 0.171, 0.500)
C (0.829, 0.344, 0.000)

Properties
E: -8.272 eV/atom


What is the E in the seventh record?
-5.541 eV/atom